Entry 1:
{"formula": "Ag2MoAu", "functional": "PBE", "state": "relaxed", "cell": [[7.5000, 0.0000, 0.0000], [0.0000, 7.5000, 0.0000], [3.7500, 3.7500, 2.7232]], "species": ["Mo", "Mo", "Ag", "Ag", "Ag", "Ag", "Au", "Au"], "fractional_positions": [[0.2500, 0.7500, 0.5000], [0.5000, 0.5000, 0.0000], [0.1273, 0.6250, 0.2500], [0.6227, 0.1250, 0.2500], [0.3750, 0.3773, 0.7500], [0.8750, 0.8727, 0.7500], [0.0000, 0.0000, 0.0000], [0.7500, 0.2500, 0.5000]], "spacegroup": "No. 122", "relative_energy_mev_per_atom": 715, "formation_enthalpy_0k_ev_per_fu": 3.8}

=====

Entry 2:
{"formula": "AgMoAu2", "functional": "PBE", "state": "relaxed", "cell": [[5.0406, -0.0030, -0.0027], [4.2657, 2.6854, -0.0027], [0.6389, 0.1842, 5.0933]], "species": ["Au", "Au", "Mo", "Ag"], "fractional_positions": [[0.7546, 0.7546, 0.7280], [0.9997, 0.9997, 0.0135], [0.4986, 0.4986, 0.5165], [0.2471, 0.2471, 0.2420]], "spacegroup": "No. 8", "relative_energy_mev_per_atom": 159, "formation_enthalpy_0k_ev_per_fu": 1.2}